A geometry-optimized CeNi2H structure. Source: the Alexandria database, functional PBE.

Geometry as CIF:
```
data_CeNi2H
_chemical_formula_sum 'Ce3 Ni6 H3'
_cell_length_a 2.8547
_cell_length_b 2.8547
_cell_length_c 20.5544
_cell_angle_alpha 90.00
_cell_angle_beta 90.00
_cell_angle_gamma 120.00
_symmetry_space_group_name_H-M 'R -3 m'
_symmetry_Int_Tables_number 166
_symmetry_space_group_name_Hall '-R 3 2"'
loop_
_atom_site_label
_atom_site_fract_x
_atom_site_fract_y
_atom_site_fract_z
Ce1 0.0000 0.0000 0.0000
Ni1 0.0000 0.0000 0.1173
H1 0.0000 0.0000 0.5000
```

Properties
- total DFT energy (no corrections) (eV/atom) = -4.99
- spin magnetization (μB per formula unit) = 0.00
- D(E_F) (states/eV per cell) = 13.08